A plane-wave DFT calculation with PBE was carried out for an optimized crystal structure of Sc2FePt.

Properties
* ΔH_f (0 K): -67.53 kJ per mole of atoms
* symmetry: No. 47

a = 3.1980 Å, b = 3.2403 Å, c = 6.3402 Å
α = 90.00°, β = 90.00°, γ = 90.00°
Element x y z (fractional)
Sc (0.0000, 0.0000, 0.2343)
Sc (0.0000, 0.0000, 0.7657)
Fe (0.5000, 0.5000, 0.0000)
Pt (0.5000, 0.5000, 0.5000)

A plane-wave DFT calculation with PBE was carried out for an optimized crystal structure of Ca2InAs3Pd4.

Properties
* ΔH_f (0 K): -68.77 kJ per mole of atoms
* symmetry: No. 115

a = 4.2733 Å, b = 4.2733 Å, c = 11.0005 Å
α = 90.00°, β = 90.00°, γ = 90.00°
Element x y z (fractional)
Ca (0.0000, 0.5000, 0.2315)
Ca (0.5000, 0.0000, 0.7685)
In (0.0000, 0.0000, 0.5000)
As (0.0000, 0.5000, 0.8707)
As (0.5000, 0.0000, 0.1293)
As (0.5000, 0.5000, 0.5000)
Pd (0.0000, 0.0000, 0.0000)
Pd (0.0000, 0.5000, 0.6491)
Pd (0.5000, 0.0000, 0.3509)
Pd (0.5000, 0.5000, 0.0000)

A plane-wave DFT calculation with PBE was carried out for an optimized crystal structure of Re2SiCl.

Properties
* distance to the lowest polymorph of the same formula: 4.02 eV/f.u.
* symmetry: No. 122
* formation energy from raw total energies: 5.08 eV per formula unit

a = 5.5783 Å, b = 5.5783 Å, c = 9.7207 Å
α = 90.00°, β = 90.00°, γ = 90.00°
Element x y z (fractional)
Re (0.2340, 0.2500, 0.1250)
Re (0.2500, 0.7340, 0.3750)
Re (0.2500, 0.7660, 0.8750)
Re (0.2660, 0.2500, 0.6250)
Re (0.7340, 0.7500, 0.6250)
Re (0.7500, 0.2340, 0.8750)
Re (0.7500, 0.2660, 0.3750)
Re (0.7660, 0.7500, 0.1250)
Si (0.0000, 0.0000, 0.5000)
Si (0.0000, 0.5000, 0.7500)
Si (0.5000, 0.0000, 0.2500)
Si (0.5000, 0.5000, 0.0000)
Cl (0.0000, 0.0000, 0.0000)
Cl (0.0000, 0.5000, 0.2500)
Cl (0.5000, 0.0000, 0.7500)
Cl (0.5000, 0.5000, 0.5000)

no.,total moment (μB per cell)
1,0.0
2,0.0
3,0.0